Computed, not measured: CuSeBr2O after structural relaxation at the PBE level of DFT.

Results
The uncorrected formation energy is 739 meV/atom. The total energy comes out at -12.189 eV per cell. As for the distance to the lowest polymorph of the same formula: 0.28 eV per formula unit.

abc: 4.9899 4.9899 4.8550
angles: 90.00 90.00 90.00
Space group P4/mmm (No. 123)
Asymmetric unit:
Cu  0.0000  0.0000  0.0000 (multiplicity 1)
Se  0.0000  0.0000  0.5000 (multiplicity 1)
Br  0.0000  0.5000  0.0000 (multiplicity 2)
O  0.5000  0.5000  0.5000 (multiplicity 1)